Entry from Alexandria: TlP3 after structural relaxation (PBE-GGA).

Computed properties:
Energy of formation from the pure elements   0.453 eV/atom
E_tot   -0.308 Ry per atom
Crystal system   tetragonal
Volume   82 Å³ per cell

a b c (Å): 3.4408 3.4408 6.9369
angles (deg): 90.00 90.00 90.00
Fractional coordinates of all 4 atoms:
Tl 0.0000 0.0000 0.0000
P 0.0000 0.0000 0.5000
P 0.5000 0.5000 0.3439
P 0.5000 0.5000 0.6561

---

Entry from Alexandria: TbAlZnS4 after structural relaxation (PBE-GGA).

Computed properties:
E_tot   -0.366 Ry per atom
Formation energy (no corrections)   -1249 meV per atom
Crystal system   orthorhombic
Volume   300 Å³ per cell

a b c (Å): 7.5134 7.5134 7.5134
angles (deg): 120.36 119.62 90.02
Fractional coordinates of all 14 atoms:
Tb 0.0000 0.0000 0.0000
Tb 0.5000 0.0000 0.5000
Al 0.5000 0.0000 0.0000
Al 0.5000 0.5000 0.5000
Zn 0.1285 0.3785 0.7500
Zn 0.8715 0.6215 0.2500
S 0.2678 0.2720 0.5042
S 0.2678 0.7635 0.9958
S 0.2716 0.7439 0.5277
S 0.2838 0.2561 0.0277
S 0.7162 0.7439 0.9723
S 0.7284 0.2561 0.4723
S 0.7322 0.2365 0.0042
S 0.7322 0.7280 0.4958

---

Entry from Alexandria: Li2Ac3In after structural relaxation (PBE-GGA).

Computed properties:
Energy of formation from the pure elements   -0.119 eV/atom
E_tot   -0.240 Ry per atom
Crystal system   trigonal
Volume   405 Å³ per cell

a b c (Å): 5.7621 5.7621 14.0840
angles (deg): 90.00 90.00 120.00
Fractional coordinates of all 12 atoms:
Li 0.0000 0.0000 0.0000
Li 0.0000 0.0000 0.5000
Li 0.3333 0.6667 0.1663
Li 0.6667 0.3333 0.8337
Ac 0.0000 0.0000 0.2490
Ac 0.0000 0.0000 0.7510
Ac 0.3333 0.6667 0.4169
Ac 0.3333 0.6667 0.9172
Ac 0.6667 0.3333 0.0828
Ac 0.6667 0.3333 0.5831
In 0.3333 0.6667 0.6678
In 0.6667 0.3333 0.3322

---

Entry from Alexandria: Ti8AlGe2 after structural relaxation (PBE-GGA).

Computed properties:
Energy of formation from the pure elements   -0.356 eV/atom
E_tot   -0.535 Ry per atom
Crystal system   monoclinic
Volume   182 Å³ per cell

a b c (Å): 7.3837 7.3837 6.8313
angles (deg): 112.25 112.25 32.08
Fractional coordinates of all 11 atoms:
Ti 0.0411 0.0411 0.2586
Ti 0.1517 0.1517 0.7131
Ti 0.3203 0.3203 0.5867
Ti 0.4060 0.4060 0.0488
Ti 0.5940 0.5940 0.9512
Ti 0.6797 0.6797 0.4133
Ti 0.8483 0.8483 0.2869
Ti 0.9589 0.9589 0.7414
Al 0.5000 0.5000 0.5000
Ge 0.2107 0.2107 0.1610
Ge 0.7893 0.7893 0.8390

---

- The highest E_tot belongs to which entry?
  Li2Ac3In

---

- Which value of E_tot does entry 2 give?
  -0.366 Ry per atom

---

- E_tot of number 2 (TbAlZnS4)?
  -0.366 Ry per atom